1.
Ca5PrIn4 | PBE | relaxed

a b c (Å): 3.868 3.868 20.448
angles (deg): 90.00 90.00 90.00
Positions (direct):
In (0.000, 0.000, 0.593)
In (0.000, 0.000, 0.407)
In (0.000, 0.000, 0.219)
In (0.000, 0.000, 0.781)
Ca (0.500, 0.500, 0.314)
Ca (0.500, 0.500, 0.500)
Ca (0.500, 0.500, 0.686)
Ca (0.500, 0.500, 0.871)
Ca (0.500, 0.500, 0.129)
Pr (0.000, 0.000, 0.000)

Results
The total moment comes out at 0.00 μB per cell. As for the total energy: -2.92 eV/atom. As for the formation energy: -349 meV per atom.

=====

2.
SiNiBAsAuC | PBE | relaxed

a b c (Å): 3.789 3.934 6.468
angles (deg): 92.17 101.64 104.54
Positions (direct):
Si (0.357, 0.328, 0.613)
Ni (0.509, 0.849, 0.823)
As (0.328, 0.381, 0.039)
Au (0.858, 0.178, 0.286)
C (0.059, 0.021, 0.796)
B (0.772, 0.077, 0.601)

Results
The total moment comes out at 0.00 μB per cell. The value obtained for the formation energy without anion corrections is 2.3 eV per formula unit. As for the total energy: -5.45 eV/atom.

=====

3.
NaHSe | PBE | relaxed

a b c (Å): 4.243 4.243 5.047
angles (deg): 114.86 114.86 90.00
Positions (direct):
Se (0.516, 0.516, 0.032)
Na (0.001, 0.001, 0.003)
H (0.333, 0.333, 0.666)

Results
The total moment comes out at 0.00 μB per cell. As for the total energy: -3.27 eV/atom.

=====

4.
CaDyZr | PBE | relaxed

a b c (Å): 3.430 3.430 8.163
angles (deg): 102.13 102.13 90.00
Positions (direct):
Dy (0.315, 0.315, 0.629)
Zr (0.677, 0.677, 0.354)
Ca (0.008, 0.008, 0.017)

Results
The total moment comes out at 0.00 μB per cell. As for the total energy: -4.89 eV/atom. As for the formation energy: 163 meV per atom.

=====

- total moment of number 2 (SiNiBAsAuC)?
  0.00 μB per cell

=====

Repeat the third record exactly.
NaHSe | PBE | relaxed

a b c (Å): 4.243 4.243 5.047
angles (deg): 114.86 114.86 90.00
Positions (direct):
Se (0.516, 0.516, 0.032)
Na (0.001, 0.001, 0.003)
H (0.333, 0.333, 0.666)

Results
The total moment comes out at 0.00 μB per cell. As for the total energy: -3.27 eV/atom.

=====

What did the first record say?
Ca5PrIn4 | PBE | relaxed

a b c (Å): 3.868 3.868 20.448
angles (deg): 90.00 90.00 90.00
Positions (direct):
In (0.000, 0.000, 0.593)
In (0.000, 0.000, 0.407)
In (0.000, 0.000, 0.219)
In (0.000, 0.000, 0.781)
Ca (0.500, 0.500, 0.314)
Ca (0.500, 0.500, 0.500)
Ca (0.500, 0.500, 0.686)
Ca (0.500, 0.500, 0.871)
Ca (0.500, 0.500, 0.129)
Pr (0.000, 0.000, 0.000)

Results
The total moment comes out at 0.00 μB per cell. As for the total energy: -2.92 eV/atom. As for the formation energy: -349 meV per atom.